(1)
The following is a DFT calculation (PBE-GGA) of crystalline Ac12SmSn4 at its relaxed geometry.

Cell lengths 10.211, 10.211, 10.211 Å; angles 109.47, 109.47, 109.47 degrees
Positions (direct):
Ac1 0.493 0.165 0.328
Ac2 0.165 0.672 0.837
Ac3 0.165 0.328 0.493
Ac4 0.507 0.835 0.672
Ac5 0.835 0.672 0.507
Ac6 0.672 0.837 0.165
Ac7 0.835 0.328 0.163
Ac8 0.328 0.163 0.835
Ac9 0.163 0.835 0.328
Ac10 0.837 0.165 0.672
Ac11 0.328 0.493 0.165
Ac12 0.672 0.507 0.835
Sn1 0.500 0.000 0.000
Sn2 0.000 0.000 0.500
Sn3 0.000 0.500 0.000
Sn4 0.500 0.500 0.500
Sm1 0.000 0.000 0.000

As for the space group: Im-3 (204). For the formation energy, the calculation gives 76.5 meV per atom.


(2)
The following is a DFT calculation (PBE-GGA) of crystalline AcSmSn4 at its relaxed geometry.

Cell lengths 4.817, 6.651, 11.619 Å; angles 90.00, 101.96, 90.00 degrees
Positions (direct):
Sn1 0.855 0.496 0.710
Sn2 0.145 0.996 0.290
Sn3 0.576 0.250 0.151
Sn4 0.000 0.000 0.000
Sn5 0.855 0.004 0.710
Sn6 0.145 0.504 0.290
Sn7 0.424 0.750 0.849
Sn8 0.000 0.500 0.000
Ac1 0.277 0.750 0.554
Ac2 0.723 0.250 0.446
Sm1 0.431 0.250 0.863
Sm2 0.569 0.750 0.137

As for the space group: Cmcm (63). For the formation energy, the calculation gives -522.3 meV per atom. The value obtained for the energy above the most stable polymorph in this dataset is 0.000 eV/atom.


(3)
The following is a DFT calculation (PBE-GGA) of crystalline Ac3SmSn12 at its relaxed geometry.

Cell lengths 4.898, 4.898, 19.440 Å; angles 90.00, 90.00, 90.00 degrees
Positions (direct):
Sn1 0.500 0.500 0.000
Sn2 0.500 0.000 0.883
Sn3 0.000 0.500 0.372
Sn4 0.500 0.000 0.372
Sn5 0.500 0.500 0.756
Sn6 0.500 0.500 0.244
Sn7 0.500 0.500 0.500
Sn8 0.000 0.500 0.628
Sn9 0.500 0.000 0.117
Sn10 0.000 0.500 0.883
Sn11 0.000 0.500 0.117
Sn12 0.500 0.000 0.628
Sm1 0.000 0.000 0.000
Ac1 0.000 0.000 0.756
Ac2 0.000 0.000 0.244
Ac3 0.000 0.000 0.500

As for the space group: P4/mmm (123). For the formation energy, the calculation gives -501.2 meV per atom.


(4)
The following is a DFT calculation (PBE-GGA) of crystalline AcSm5Sn6 at its relaxed geometry.

Cell lengths 8.464, 6.432, 8.570 Å; angles 67.96, 78.88, 59.06 degrees
Positions (direct):
Sm1 0.500 0.150 0.700
Sm2 0.500 0.500 0.000
Sm3 0.000 0.678 0.644
Sm4 0.500 0.850 0.300
Sm5 0.000 0.322 0.356
Ac1 0.000 0.000 0.000
Sn1 0.281 0.878 0.654
Sn2 0.281 0.532 0.346
Sn3 0.719 0.122 0.346
Sn4 0.778 0.698 0.000
Sn5 0.719 0.468 0.654
Sn6 0.222 0.302 0.000

As for the space group: C2/m (12). For the formation energy, the calculation gives -619.5 meV per atom.


(5)
The following is a DFT calculation (PBE-GGA) of crystalline Ac3Sm4Sn4 at its relaxed geometry.

Cell lengths 4.562, 9.657, 10.216 Å; angles 118.21, 102.90, 90.00 degrees
Last column: magnetic moment on the atom in μB.
Positions (direct):
Sm1 0.673 0.478 0.346  0.30
Sm2 0.327 0.133 0.654  0.30
Sm3 0.327 0.522 0.654  0.30
Sm4 0.673 0.867 0.346  0.30
Sn1 0.500 0.784 0.000  -0.01
Sn2 0.240 0.740 0.481  -0.02
Sn3 0.500 0.216 0.000  -0.01
Sn4 0.760 0.260 0.519  -0.02
Ac1 0.000 0.500 0.000  0.10
Ac2 0.108 0.108 0.215  0.10
Ac3 0.892 0.892 0.785  0.10

As for the space group: Immm (71). For the formation energy, the calculation gives -567.8 meV per atom.


(6)
The following is a DFT calculation (PBE-GGA) of crystalline AcSmSn2 at its relaxed geometry.

Cell lengths 4.821, 4.475, 6.499 Å; angles 90.00, 111.76, 90.00 degrees
Positions (direct):
Sn1 0.171 0.500 0.882
Sn2 0.999 0.000 0.536
Ac1 0.445 0.500 0.427
Sm1 0.716 0.000 0.972

As for the space group: Amm2 (38). For the formation energy, the calculation gives -701.4 meV per atom.


(7)
The following is a DFT calculation (PBE-GGA) of crystalline Ac2Sm2Sn3 at its relaxed geometry.

Cell lengths 4.694, 7.356, 8.246 Å; angles 116.44, 90.00, 108.61 degrees
Positions (direct):
Sm1 0.155 0.309 0.265
Sm2 0.845 0.691 0.735
Sn1 0.594 0.187 0.454
Sn2 0.406 0.813 0.546
Sn3 0.500 0.000 0.000
Ac1 0.874 0.748 0.221
Ac2 0.126 0.252 0.779

As for the space group: C2/m (12). For the formation energy, the calculation gives -575.2 meV per atom.


(8)
The following is a DFT calculation (PBE-GGA) of crystalline Ac2Sm3Sn2 at its relaxed geometry.

Cell lengths 4.630, 6.816, 9.027 Å; angles 110.70, 90.00, 109.86 degrees
Last column: magnetic moment on the atom in μB.
Positions (direct):
Sm1 0.627 0.255 0.446  0.09
Sm2 0.500 0.000 0.000  0.01
Sm3 0.373 0.745 0.554  0.09
Ac1 0.855 0.710 0.198  0.03
Ac2 0.145 0.290 0.802  0.03
Sn1 0.158 0.316 0.215  0.00
Sn2 0.842 0.684 0.785  0.00

As for the space group: C2/m (12). For the formation energy, the calculation gives -447.9 meV per atom.


(9)
The following is a DFT calculation (PBE-GGA) of crystalline AcTbSmSn at its relaxed geometry.

Cell lengths 5.596, 5.596, 5.596 Å; angles 60.00, 60.00, 60.00 degrees
Positions (direct):
Sn1 0.250 0.250 0.250
Tb1 0.000 0.000 0.000
Ac1 0.750 0.750 0.750
Sm1 0.500 0.500 0.500

As for the space group: F-43m (216). For the formation energy, the calculation gives -190.0 meV per atom.


(10)
The following is a DFT calculation (PBE-GGA) of crystalline AcSmTlSn at its relaxed geometry.

Cell lengths 5.641, 5.641, 5.641 Å; angles 60.00, 60.00, 60.00 degrees
Positions (direct):
Ac1 0.500 0.500 0.500
Sn1 0.750 0.750 0.750
Tl1 0.250 0.250 0.250
Sm1 0.000 0.000 0.000

As for the space group: F-43m (216). For the formation energy, the calculation gives -465.3 meV per atom. The value obtained for the energy above the most stable polymorph in this dataset is 0.061 eV/atom.


(11)
The following is a DFT calculation (PBE-GGA) of crystalline AcSmTlSn at its relaxed geometry.

Cell lengths 4.811, 4.527, 6.559 Å; angles 90.00, 111.51, 90.00 degrees
Positions (direct):
Ac1 0.860 0.500 0.721
Sm1 0.135 0.000 0.269
Sn1 0.587 0.500 0.174
Tl1 0.418 0.000 0.836

As for the space group: Amm2 (38). For the formation energy, the calculation gives -526.3 meV per atom. The value obtained for the energy above the most stable polymorph in this dataset is 0.000 eV/atom.


(12)
The following is a DFT calculation (PBE-GGA) of crystalline AcSmTmSn at its relaxed geometry.

Cell lengths 5.568, 5.568, 5.568 Å; angles 60.00, 60.00, 60.00 degrees
Positions (direct):
Sn1 0.250 0.250 0.250
Ac1 0.750 0.750 0.750
Sm1 0.000 0.000 0.000
Tm1 0.500 0.500 0.500

As for the space group: F-43m (216). For the formation energy, the calculation gives -158.3 meV per atom.


Number 1: uncorrected energy -4.0430 eV/atom, total moment 0.00 μB per formula unit. Number 2: uncorrected energy -4.6622 eV/atom, total moment 0.00 μB per formula unit. Number 3: uncorrected energy -4.5686 eV/atom, total moment 0.00 μB per formula unit. Number 4: uncorrected energy -4.9296 eV/atom, total moment 0.00 μB per formula unit. Number 5: uncorrected energy -4.8599 eV/atom, total moment 3.80 μB per formula unit. Number 6: uncorrected energy -4.9097 eV/atom, total moment 0.00 μB per formula unit. Number 7: uncorrected energy -4.8128 eV/atom, total moment 0.00 μB per formula unit. Number 8: uncorrected energy -4.7879 eV/atom, total moment 0.61 μB per formula unit. Number 9: uncorrected energy -4.5552 eV/atom, total moment 0.00 μB per formula unit. Number 10: uncorrected energy -4.2645 eV/atom, total moment 0.00 μB per formula unit. Number 11: uncorrected energy -4.3255 eV/atom, total moment 0.00 μB per formula unit. Number 12: uncorrected energy -4.4837 eV/atom, total moment 0.00 μB per formula unit.